1.
The following is a DFT calculation (GGA-PBE) of crystalline NiPbCl2 at its relaxed geometry.

Its space group is Imm2, No. 44. For the energy, the calculation gives -3.541 eV per atom. The calculation puts the total magnetization at 0.5 μB/f.u. The crystal system is orthorhombic. The calculation puts the energy relative to the elements, uncorrected at -0.245 eV/atom. The value obtained for the energy above the lowest structure with this stoichiometry is 87 kJ/mol of formula units.

Unit cell a=7.7615 b=7.7615 c=7.7615 alpha=154.78 beta=151.02 gamma=38.78
Closest atoms and distances in Å follow each position.
Sites, in units of the cell vectors:
Pb (0.3219, 0.8219, 0.5000)  2 Ni 2.81, 6 Cl 3.02-3.12
Ni (0.4747, 0.4747, 0.0000)  4 Cl 2.59, 2 Pb 2.81
Cl (0.9890, 0.9890, 0.0000)  4 Ni 2.59
Cl (0.7144, 0.2144, 0.5000)  4 Pb 3.02

=====

2.
The following is a DFT calculation (GGA-PBE) of crystalline KScPb2Cl8 at its relaxed geometry.

Its space group is P2/m, No. 10. For the energy, the calculation gives -4.067 eV per atom. The calculation puts the total magnetization at 0.0 μB/f.u. The crystal system is monoclinic. The calculation puts the energy relative to the elements, uncorrected at -1.598 eV/atom.

Unit cell a=6.7289 b=6.4419 c=8.7457 alpha=89.97 beta=90.00 gamma=88.81
Closest atoms and distances in Å follow each position.
Sites, in units of the cell vectors:
K (0.0000, 0.0000, 0.5000)  6 Cl 3.05-3.11
Sc (0.0000, 0.0000, 0.0000)  6 Cl 2.51-2.55
Pb (0.5000, 0.4999, 0.7550)  6 Cl 2.82-3.08
Pb (0.5000, 0.5001, 0.2450)  6 Cl 2.82-3.08
Cl (0.1521, 0.7765, 0.2058)  1 Sc 2.51
Cl (0.6966, 0.7697, 0.9998)  1 Sc 2.55
Cl (0.8475, 0.2232, 0.2056)  1 Sc 2.51
Cl (0.8479, 0.2235, 0.7942)  1 Sc 2.51
Cl (0.3034, 0.2303, 0.0002)  1 Sc 2.55
Cl (0.1525, 0.7768, 0.7944)  1 Sc 2.51
Cl (0.6357, 0.7257, 0.5000)  2 Pb 2.82, 1 K 3.05
Cl (0.3643, 0.2743, 0.5000)  2 Pb 2.82, 1 K 3.05